# 1
Density functional theory data (PBE-GGA) for an optimized crystal structure of MgScBe2.

Output
The energy of formation from the pure elements comes out at 224 meV per atom. As for the crystal system: monoclinic.

a b c (Å): 4.369 4.369 4.348
angles (deg): 120.02 120.02 89.97
Positions (direct):
Be 0.002 0.998 0.000
Be 0.248 0.752 0.500
Sc 0.751 0.249 0.500
Mg 0.499 0.501 0.000



# 2
Density functional theory data (PBE-GGA) for an optimized crystal structure of PIrPtS2.

Output
As for the crystal system: tetragonal. The energy above the lowest structure with this stoichiometry is 324 meV/atom. The calculation puts the formation energy without anion corrections at 6.479 eV per formula unit.

a b c (Å): 4.677 4.677 4.498
angles (deg): 90.00 90.00 90.00
Positions (direct):
Ir 0.500 0.500 0.500
S 0.500 0.000 0.000
S 0.000 0.500 0.000
Pt 0.000 0.000 0.000
P 0.000 0.000 0.500



# 3
Density functional theory data (PBE-GGA) for an optimized crystal structure of Zr2MnHg.

Output
The energy of formation from the pure elements comes out at -129 meV per atom. As for the crystal system: orthorhombic.

a b c (Å): 3.213 3.213 7.427
angles (deg): 90.00 90.00 90.09
Positions (direct):
Zr 0.000 0.000 0.960
Zr 0.000 0.000 0.540
Mn 0.500 0.500 0.750
Hg 0.500 0.500 0.250



# 4
Density functional theory data (PBE-GGA) for an optimized crystal structure of AlAuBr2.

Output
As for the crystal system: cubic. The energy above the lowest structure with this stoichiometry is 869 meV/atom. The calculation puts the formation energy without anion corrections at 1.139 eV per formula unit.

a b c (Å): 5.068 5.068 5.068
angles (deg): 60.00 60.00 60.00
Positions (direct):
Br 0.750 0.750 0.750
Br 0.000 0.000 0.000
Al 0.500 0.500 0.500
Au 0.250 0.250 0.250



# 5
Density functional theory data (PBE-GGA) for an optimized crystal structure of PmPaGaAg.

Output
The energy of formation from the pure elements comes out at -41 meV per atom. As for the crystal system: cubic.

a b c (Å): 5.178 5.178 5.178
angles (deg): 60.00 60.00 60.00
Positions (direct):
Ag 0.250 0.250 0.250
Ga 0.750 0.750 0.750
Pa 0.000 0.000 0.000
Pm 0.500 0.500 0.500



# 6
Density functional theory data (PBE-GGA) for an optimized crystal structure of CaPm2Pd.

Output
The energy of formation from the pure elements comes out at 167 meV per atom. As for the crystal system: trigonal. The energy above the lowest structure with this stoichiometry is 566 meV/atom.

a b c (Å): 3.507 3.507 11.881
angles (deg): 81.51 81.51 60.00
Positions (direct):
Pd 0.000 0.000 0.000
Ca 0.500 0.500 0.500
Pm 0.076 0.076 0.772
Pm 0.924 0.924 0.228



# 7
Density functional theory data (PBE-GGA) for an optimized crystal structure of CoMoAs2Br.

Output
As for the crystal system: tetragonal. The energy above the lowest structure with this stoichiometry is 56 meV/atom. The calculation puts the formation energy without anion corrections at 4.568 eV per formula unit.

a b c (Å): 4.817 4.817 5.354
angles (deg): 90.00 90.00 90.00
Positions (direct):
As 0.500 0.000 0.000
As 0.000 0.500 0.000
Br 0.000 0.000 0.500
Mo 0.000 0.000 0.000
Co 0.500 0.500 0.500



# 8
Density functional theory data (PBE-GGA) for an optimized crystal structure of SiAgP2.

Output
As for the crystal system: trigonal. The calculation puts the formation energy without anion corrections at 2.282 eV per formula unit.

a b c (Å): 9.013 9.013 9.013
angles (deg): 18.21 18.21 18.21
Positions (direct):
Ag 0.750 0.750 0.750
P 0.506 0.506 0.506
P 0.994 0.994 0.994
Si 0.250 0.250 0.250



These records have E_tot values of -3.621, -4.418, -6.771, -2.307, -5.072, -4.007, -4.868, -4.203 eV/atom, in the order they appear.